Ce3NdZr2P6 | GGA-PBE | optimized geometry

Cell lengths 6.877, 11.916, 6.883 Å; angles 90.00, 109.54, 90.00 degrees
Space group C2/m (No. 12)
Asymmetric unit:
Ce (0.000, 0.000, 0.000) x2
Ce (0.000, 0.337, 0.000) x4
Nd (0.000, 0.500, 0.500) x2
Zr (0.000, 0.168, 0.500) x4
P (0.231, 0.000, 0.736) x4
P (0.246, 0.174, 0.260) x8

## Properties
- DFT formation energy: -17.6 eV/f.u.
- Total magnetic moment: 0.011 Bohr magnetons per cell
- VASP energy: -179.37 eV for the cell shown

---

Sc4CdGa2Ir | GGA-PBE | optimized geometry

Cell lengths 4.7722, 4.7722, 23.2854 Å; angles 90.00, 90.00, 120.00 degrees
Space group R-3m (No. 166, hexagonal axes)
Asymmetric unit:
Sc (0.0000, 0.0000, 0.1166) x6
Sc (0.0000, 0.0000, 0.3692) x6
Cd (0.0000, 0.0000, 0.5000) x3
Ga (0.0000, 0.0000, 0.2444) x6
Ir (0.0000, 0.0000, 0.0000) x3

## Properties
- DFT formation energy: -5.1 eV/f.u.
- Total magnetic moment: 0.000 Bohr magnetons per cell
- VASP energy: -138.71 eV for the cell shown